A plane-wave DFT calculation with GGA-PBE was carried out for a relaxed structure of RuAu7.

Computed properties:
- Space group: Fm-3m (225)
- Energy relative to the elements: 21.53 kJ per mole of atoms
- Magnetization: 1.42 μB/cell
- V: 17.62 Å³ per atom

a b c (Å): 5.842 5.842 5.842
angles (deg): 60.00 60.00 60.00
Fractional coordinates of all 8 atoms:
1 Ru 0.000 0.000 0.000
2 Au 0.000 0.000 0.500
3 Au 0.000 0.500 0.000
4 Au 0.000 0.500 0.500
5 Au 0.500 0.000 0.000
6 Au 0.500 0.000 0.500
7 Au 0.500 0.500 0.000
8 Au 0.500 0.500 0.500

***

A plane-wave DFT calculation with GGA-PBE was carried out for a relaxed structure of BaLa2Rh2.

Computed properties:
- Space group: P4/mbm (127)
- Energy relative to the elements: -41.62 kJ per mole of atoms
- Magnetization: 0.00 μB/cell
- V: 27.46 Å³ per atom
- Distance to the lowest polymorph of the same formula: 0 meV/atom

a b c (Å): 8.375 8.375 3.915
angles (deg): 90.00 90.00 90.00
Fractional coordinates of all 10 atoms:
1 Ba 0.000 0.000 0.000
2 Ba 0.500 0.500 0.000
3 La 0.147 0.353 0.500
4 La 0.353 0.853 0.500
5 La 0.647 0.147 0.500
6 La 0.853 0.647 0.500
7 Rh 0.134 0.634 0.000
8 Rh 0.366 0.134 0.000
9 Rh 0.634 0.866 0.000
10 Rh 0.866 0.366 0.000

***

A plane-wave DFT calculation with GGA-PBE was carried out for a relaxed structure of Mn6NiRh5.

Computed properties:
- Space group: Immm (71)
- Energy relative to the elements: -14.77 kJ per mole of atoms
- Magnetization: 25.42 μB/cell
- V: 13.87 Å³ per atom

a b c (Å): 7.421 7.421 7.421
angles (deg): 146.37 132.08 59.81
Fractional coordinates of all 12 atoms:
1 Mn 0.083 0.335 0.747
2 Mn 0.246 0.000 0.246
3 Mn 0.412 0.665 0.747
4 Mn 0.588 0.335 0.253
5 Mn 0.754 0.000 0.754
6 Mn 0.917 0.665 0.253
7 Ni 0.000 0.500 0.500
8 Rh 0.166 0.166 0.000
9 Rh 0.334 0.834 0.500
10 Rh 0.500 0.500 0.000
11 Rh 0.666 0.166 0.500
12 Rh 0.834 0.834 0.000

***

A plane-wave DFT calculation with GGA-PBE was carried out for a relaxed structure of La2Ag3Pb.

Computed properties:
- Space group: Fmmm (69)
- Energy relative to the elements: -33.86 kJ per mole of atoms
- Magnetization: 0.00 μB/cell
- V: 26.42 Å³ per atom

a b c (Å): 9.915 9.369 6.194
angles (deg): 76.13 66.53 37.33
Fractional coordinates of all 12 atoms:
1 La 0.235 0.765 0.765
2 La 0.250 0.250 0.250
3 La 0.750 0.750 0.750
4 La 0.765 0.235 0.235
5 Ag 0.164 0.673 0.327
6 Ag 0.165 0.165 0.835
7 Ag 0.327 0.836 0.164
8 Ag 0.673 0.164 0.836
9 Ag 0.835 0.835 0.165
10 Ag 0.836 0.327 0.673
11 Pb 0.336 0.336 0.664
12 Pb 0.664 0.664 0.336